BPb | PBE-GGA | relaxed

Values from the calculation:
The value obtained for the energy of formation is 2.61 eV per formula unit. The value obtained for the calculated density is 6.91 Mg/m³. The calculation puts the energy relative to the lowest polymorph listed for this composition at 0.494 eV/atom. Its electronic total energy is -3.888 eV per atom.

Lattice parameters (Å, degrees): 6.7995 6.7995 6.7995 90.00 90.00 90.00
Space group Pm-3n (No. 223)
Inequivalent atoms, fractional coordinates:
B (0.0000, 0.2500, 0.5000) (multiplicity 6)
Pb (0.0000, 0.5000, 0.2500) (multiplicity 6)